No. 1
Computed, not measured: a relaxed Pr8Ho3Er crystal at the GGA-PBE level of DFT.

Cell and atoms, written as CIF:
```
data_Pr8Ho3Er
_cell_length_a 7.102
_cell_length_b 12.072
_cell_length_c 9.923
_cell_angle_alpha 90.00
_cell_angle_beta 104.24
_cell_angle_gamma 90.00
_symmetry_space_group_name_H-M 'C 1 2/m 1'
_symmetry_Int_Tables_number 12
loop_
_symmetry_equiv_pos_as_xyz
'x,y,z'
'-x,-y,-z'
'-x,y,-z'
'x,-y,z'
'x+1/2,y+1/2,z'
'-x+1/2,-y+1/2,-z'
'-x+1/2,y+1/2,-z'
'x+1/2,-y+1/2,z'
loop_
_atom_site_label
_atom_site_type_symbol
_atom_site_fract_x
_atom_site_fract_y
_atom_site_fract_z
Pr1 Pr 0.068 0.249 0.334
Pr2 Pr 0.182 0.000 0.166
Pr3 Pr 0.182 0.500 0.166
Ho1 Ho 0.000 0.500 0.500
Ho2 Ho 0.250 0.250 0.000
Er1 Er 0.000 0.000 0.500
```

No. 2
Computed, not measured: a relaxed Pr3Ho12Er crystal at the GGA-PBE level of DFT.

Cell and atoms, written as CIF:
```
data_Pr3Ho12Er
_cell_length_a 5.033
_cell_length_b 5.033
_cell_length_c 20.131
_cell_angle_alpha 90.00
_cell_angle_beta 90.00
_cell_angle_gamma 90.00
_symmetry_space_group_name_H-M 'P 4/m m m'
_symmetry_Int_Tables_number 123
_symmetry_space_group_name_Hall '-P 4 2'
loop_
_atom_site_label
_atom_site_type_symbol
_atom_site_fract_x
_atom_site_fract_y
_atom_site_fract_z
Pr1 Pr 0.000 0.000 0.000
Pr2 Pr 0.000 0.000 0.251
Ho1 Ho 0.000 0.500 0.126
Ho2 Ho 0.000 0.500 0.377
Ho3 Ho 0.500 0.500 0.000
Ho4 Ho 0.500 0.500 0.252
Ho5 Ho 0.500 0.500 0.500
Er1 Er 0.000 0.000 0.500
```

No. 3
# GGA-PBE PrHo3Er2, optimized geometry
# energy relative to the lowest polymorph listed for this composition: 0 meV per atom
data_PrHo3Er2
_cell_length_a 7.139
_cell_length_b 7.148
_cell_length_c 8.814
_cell_angle_alpha 78.23
_cell_angle_beta 78.28
_cell_angle_gamma 60.17
_symmetry_space_group_name_H-M 'P -1'
_symmetry_Int_Tables_number 2
loop_
_symmetry_equiv_pos_as_xyz
'x,y,z'
'-x,-y,-z'
loop_
_atom_site_label
_atom_site_type_symbol
_atom_site_fract_x
_atom_site_fract_y
_atom_site_fract_z
Pr1 Pr 0.250 0.250 0.001
Ho1 Ho 0.139 0.139 0.664
Ho2 Ho 0.250 0.750 0.000
Ho3 Ho 0.360 0.861 0.337
Er1 Er 0.140 0.639 0.663
Er2 Er 0.361 0.362 0.336

No. 4
Computed, not measured: a relaxed Pr14HoEr crystal at the GGA-PBE level of DFT.

Cell and atoms, written as CIF:
```
data_Pr14HoEr
_cell_length_a 7.371
_cell_length_b 7.371
_cell_length_c 10.446
_cell_angle_alpha 90.00
_cell_angle_beta 90.00
_cell_angle_gamma 90.00
_symmetry_space_group_name_H-M 'P 4/m m m'
_symmetry_Int_Tables_number 123
_symmetry_space_group_name_Hall '-P 4 2'
loop_
_atom_site_label
_atom_site_type_symbol
_atom_site_fract_x
_atom_site_fract_y
_atom_site_fract_z
Pr1 Pr 0.000 0.000 0.000
Pr2 Pr 0.000 0.500 0.000
Pr3 Pr 0.000 0.500 0.500
Pr4 Pr 0.250 0.250 0.253
Pr5 Pr 0.500 0.500 0.000
Ho1 Ho 0.000 0.000 0.500
Er1 Er 0.500 0.500 0.500
```

No. 5
# GGA-PBE Pr2Ho5Er4, optimized geometry
# energy relative to the lowest polymorph listed for this composition: 0 meV per atom
data_Pr2Ho5Er4
_cell_length_a 23.276
_cell_length_b 3.554
_cell_length_c 8.698
_cell_angle_alpha 90.00
_cell_angle_beta 104.43
_cell_angle_gamma 90.00
_symmetry_space_group_name_H-M 'C 1 2/m 1'
_symmetry_Int_Tables_number 12
loop_
_symmetry_equiv_pos_as_xyz
'x,y,z'
'-x,-y,-z'
'-x,y,-z'
'x,-y,z'
'x+1/2,y+1/2,z'
'-x+1/2,-y+1/2,-z'
'-x+1/2,y+1/2,-z'
'x+1/2,-y+1/2,z'
loop_
_atom_site_label
_atom_site_type_symbol
_atom_site_fract_x
_atom_site_fract_y
_atom_site_fract_z
Pr1 Pr 0.091 0.000 0.227
Ho1 Ho 0.000 0.000 0.500
Ho2 Ho 0.137 0.500 0.594
Ho3 Ho 0.228 0.500 0.317
Er1 Er 0.047 0.500 0.861
Er2 Er 0.182 0.000 0.954

No. 6
# GGA-PBE PrHo4Er3, optimized geometry
# energy relative to the lowest polymorph listed for this composition: 226 meV per atom
data_PrHo4Er3
_cell_length_a 5.628
_cell_length_b 26.015
_cell_length_c 3.542
_cell_angle_alpha 90.00
_cell_angle_beta 90.00
_cell_angle_gamma 90.00
_symmetry_space_group_name_H-M 'C m m m'
_symmetry_Int_Tables_number 65
_symmetry_space_group_name_Hall '-C 2 2'
loop_
_atom_site_label
_atom_site_type_symbol
_atom_site_fract_x
_atom_site_fract_y
_atom_site_fract_z
Pr1 Pr 0.000 0.000 0.000
Ho1 Ho 0.000 0.106 0.500
Ho2 Ho 0.000 0.224 0.500
Er1 Er 0.000 0.343 0.000
Er2 Er 0.000 0.500 0.500

No. 7
# GGA-PBE Pr2Ho2Er, optimized geometry
# energy relative to the lowest polymorph listed for this composition: 108 meV per atom
data_Pr2Ho2Er
_cell_length_a 3.661
_cell_length_b 5.734
_cell_length_c 31.835
_cell_angle_alpha 90.00
_cell_angle_beta 90.00
_cell_angle_gamma 90.00
_symmetry_space_group_name_H-M 'I m m a'
_symmetry_Int_Tables_number 74
_symmetry_space_group_name_Hall '-I 2b 2'
loop_
_atom_site_label
_atom_site_type_symbol
_atom_site_fract_x
_atom_site_fract_y
_atom_site_fract_z
Pr1 Pr 0.000 0.250 0.023
Pr2 Pr 0.000 0.250 0.122
Ho1 Ho 0.000 0.250 0.291
Ho2 Ho 0.000 0.250 0.803
Er1 Er 0.000 0.250 0.582

No. 8
# GGA-PBE PrHoEr2, optimized geometry
# energy relative to the lowest polymorph listed for this composition: 12 meV per atom
data_PrHoEr2
_cell_length_a 3.565
_cell_length_b 3.565
_cell_length_c 10.079
_cell_angle_alpha 90.00
_cell_angle_beta 90.00
_cell_angle_gamma 90.00
_symmetry_space_group_name_H-M 'P 4/m m m'
_symmetry_Int_Tables_number 123
_symmetry_space_group_name_Hall '-P 4 2'
loop_
_atom_site_label
_atom_site_type_symbol
_atom_site_fract_x
_atom_site_fract_y
_atom_site_fract_z
Pr1 Pr 0.000 0.000 0.000
Ho1 Ho 0.000 0.000 0.500
Er1 Er 0.500 0.500 0.256

| no. | DOS at the Fermi energy (states/eV/f.u.) | DFT formation energy (eV per atom) |
| --- | --- | --- |
| 1 | 22.12 | 0.1093 |
| 2 | 21.98 | 0.0239 |
| 3 | 7.63 | -0.0019 |
| 4 | 24.87 | 0.0132 |
| 5 | 14.84 | 0.0229 |
| 6 | 13.90 | 0.2339 |
| 7 | 7.02 | 0.1370 |
| 8 | 5.87 | 0.0282 |